No. 1
The following is a DFT calculation (GGA-PBE) of a relaxed Hf2GaSi2 crystal.

Summary:
Raw formation energy, eV per atom: -0.39
Size of the total moment, μB/f.u.: 0.00
DFT total energy, eV per atom: -7.1475
N(E_F), states/eV/f.u.: 2.77

```
Hf2GaSi2
1.0
-0.356 -1.778 -2.919
3.154 -1.301 0.408
-1.550 -7.448 2.702
Si Hf Ga
2 2 1
Cartesian
-0.253 -5.383 -0.736
1.502 -5.144 0.927
0.496 -7.691 0.578
0.752 -2.836 -0.387
0.000 0.000 0.000
```

No. 2
The following is a DFT calculation (GGA-PBE) of a relaxed LaTm6Th crystal.

Summary:
Distance to the lowest polymorph of the same formula, eV/f.u.: 0.000
Size of the total moment, μB/f.u.: 0.00
DFT total energy, eV per atom: -4.8624
N(E_F), states/eV/f.u.: 13.46
Energy relative to the elements, eV per atom: 0.035

```
LaTm6Th
1.0
-2.521 1.218 4.133
3.515 -2.188 2.789
5.010 8.682 0.497
Th Tm La
1 6 1
Cartesian
2.505 4.341 0.248
2.467 7.068 2.436
3.040 1.129 1.522
0.497 -0.485 3.461
0.023 2.832 2.194
5.485 5.365 1.764
3.002 3.856 3.709
0.000 0.000 0.000
```

No. 3
The following is a DFT calculation (GGA-PBE) of a relaxed Sr2Cu2SnPd5 crystal.

Summary:
Size of the total moment, μB/f.u.: 0.00
DFT total energy, eV per atom: -4.6492
N(E_F), states/eV/f.u.: 4.91
Energy relative to the elements, eV per atom: -0.497

```
Sr2Cu2SnPd5
1.0
3.854 0.000 0.000
0.000 9.899 0.000
0.000 0.000 9.899
Sr Sn Pd Cu
4 2 10 4
Cartesian
0.000 1.735 3.214
0.000 3.214 8.164
0.000 6.685 1.735
0.000 8.164 6.685
0.000 0.000 0.000
0.000 4.950 4.950
1.927 7.007 4.320
1.927 0.630 7.842
1.927 0.000 4.950
1.927 4.320 2.892
1.927 2.892 5.579
1.927 2.057 0.630
1.927 5.579 7.007
1.927 7.842 9.269
1.927 9.269 2.057
1.927 4.950 0.000
0.000 3.732 1.217
0.000 6.167 8.682
0.000 1.217 6.167
0.000 8.682 3.732
```